No. 1
PBE Li3Ge, relaxed; ΔE to the lowest computed polymorph = 7 meV/atom
1.0
-1.729 2.180 4.035
1.729 -2.180 4.035
1.729 2.180 -4.035
Li Ge
3 1
Direct
0.000 0.000 0.000
0.246 0.746 0.500
0.754 0.254 0.500
0.500 0.500 0.000



No. 2
A relaxed Sc5Ir4Au crystal. Source: the Alexandria database, functional PBE.

```
Sc5Ir4Au
1.0
3.181 0.000 0.000
0.000 3.181 0.000
0.000 0.000 17.223
Sc Ir Au
5 4 1
Direct
0.000 0.000 0.000
0.000 0.000 0.193
0.000 0.000 0.386
0.000 0.000 0.614
0.000 0.000 0.807
0.500 0.500 0.097
0.500 0.500 0.292
0.500 0.500 0.708
0.500 0.500 0.903
0.500 0.500 0.500
```



No. 3
A relaxed Gd3TlTc crystal. Source: the Alexandria database, functional PBE.

```
Gd3TlTc
1.0
5.333 0.000 0.000
0.000 5.333 0.000
0.000 0.000 5.333
Gd Tl Tc
3 1 1
Direct
0.000 0.000 0.500
0.000 0.500 0.000
0.500 0.000 0.000
0.500 0.500 0.500
0.000 0.000 0.000
```



no.,energy relative to the elements (eV per atom)
1,-0.32
2,-0.97
3,0.01